# 1
Here is crystalline CuPRhO2 at its relaxed geometry from Alexandria. Energies are from PBE.

a b c (Å): 3.5687 3.5687 5.1818
angles (deg): 90.00 90.00 90.00
Closest atoms and distances in Å follow each position.
Fractional positions:
1 Cu 0.0000 0.0000 0.0000  4 O 1.78
2 P 0.0000 0.0000 0.5000  4 Rh 2.52, 2 Cu 2.59
3 Rh 0.5000 0.5000 0.5000  4 P 2.52
4 O 0.0000 0.5000 0.0000  2 Cu 1.78
5 O 0.5000 0.0000 0.0000  2 Cu 1.78

Computed properties:
For the density of states at the Fermi level, the calculation gives 0.89 states/eV/atom. The value obtained for the energy above the most stable polymorph in this dataset is 0.309 eV per atom. Its total energy is -4.973 eV per atom. As for the crystal system: tetragonal. The calculation puts the uncorrected formation energy at 0.382 eV per atom.

# 2
Here is crystalline CuP2RuO8 at its relaxed geometry from Alexandria. Energies are from PBE.

a b c (Å): 5.4740 5.4740 5.4740
angles (deg): 106.79 106.79 114.99
Closest atoms and distances in Å follow each position.
Fractional positions:
1 Cu 0.0000 0.0000 0.0000  8 O 2.13-2.28
2 P 0.5000 0.5000 0.0000  4 O 1.56
3 P 0.7500 0.2500 0.5000  4 O 1.56
4 Ru 0.2500 0.7500 0.5000  8 O 2.12-2.25
5 O 0.3302 0.1469 0.8166  1 P 1.56
6 O 0.3302 0.5136 0.1834  1 P 1.56
7 O 0.3960 0.0763 0.3197  1 P 1.56
8 O 0.4864 0.6698 0.8166  1 P 1.56
9 O 0.7565 0.0763 0.6803  1 P 1.56
10 O 0.8531 0.6698 0.1834  1 P 1.56
11 O 0.9237 0.2435 0.3197  1 P 1.56
12 O 0.9237 0.6040 0.6803  1 P 1.56

Computed properties:
For the density of states at the Fermi level, the calculation gives 0.51 states/eV/atom. Its total energy is -6.598 eV per atom. As for the crystal system: tetragonal. The calculation puts the uncorrected formation energy at -1.276 eV per atom.

# 3
Here is crystalline CuPRuO2 at its relaxed geometry from Alexandria. Energies are from PBE.

a b c (Å): 3.5258 3.5258 5.4874
angles (deg): 90.00 90.00 90.00
Closest atoms and distances in Å follow each position.
Fractional positions:
1 Cu 0.0000 0.0000 0.0000  4 O 1.76
2 P 0.0000 0.0000 0.5000  4 Ru 2.49, 2 Cu 2.74
3 Ru 0.5000 0.5000 0.5000  4 P 2.49
4 O 0.0000 0.5000 0.0000  2 Cu 1.76
5 O 0.5000 0.0000 0.0000  2 Cu 1.76

Computed properties:
For the density of states at the Fermi level, the calculation gives 0.98 states/eV/atom. The value obtained for the energy above the most stable polymorph in this dataset is 0.716 eV per atom. Its total energy is -5.223 eV per atom. As for the crystal system: tetragonal. The calculation puts the uncorrected formation energy at 0.517 eV per atom.

# 4
Here is crystalline CuPRuO2 at its relaxed geometry from Alexandria. Energies are from PBE.

a b c (Å): 3.6826 3.6826 5.2804
angles (deg): 90.00 90.00 90.00
Closest atoms and distances in Å follow each position.
Fractional positions:
1 Cu 0.0000 0.0000 0.0000  4 P 2.60
2 P 0.5000 0.5000 0.0000  4 Cu 2.60, 2 Ru 2.64
3 Ru 0.5000 0.5000 0.5000  4 O 1.84
4 O 0.0000 0.5000 0.5000  2 Ru 1.84
5 O 0.5000 0.0000 0.5000  2 Ru 1.84

Computed properties:
For the density of states at the Fermi level, the calculation gives 0.67 states/eV/atom. The value obtained for the energy above the most stable polymorph in this dataset is 0.000 eV per atom. Its total energy is -5.939 eV per atom. As for the crystal system: tetragonal. The calculation puts the uncorrected formation energy at -0.200 eV per atom.

# 5
Here is crystalline CuP2RuO at its relaxed geometry from Alexandria. Energies are from PBE.

a b c (Å): 4.7321 4.7321 3.6352
angles (deg): 90.00 90.00 90.00
Closest atoms and distances in Å follow each position.
Fractional positions:
1 Cu 0.0000 0.0000 0.0000  8 P 2.98
2 P 0.0000 0.5000 0.5000  2 Ru 2.37
3 P 0.5000 0.0000 0.5000  2 Ru 2.37
4 Ru 0.5000 0.5000 0.5000  2 O 1.82
5 O 0.5000 0.5000 0.0000  2 Ru 1.82

Computed properties:
For the density of states at the Fermi level, the calculation gives 0.56 states/eV/atom. The value obtained for the energy above the most stable polymorph in this dataset is 0.000 eV per atom. Its total energy is -5.515 eV per atom. As for the crystal system: tetragonal. The calculation puts the uncorrected formation energy at 0.315 eV per atom.

# 6
Here is crystalline CuP2RuO at its relaxed geometry from Alexandria. Energies are from PBE.

a b c (Å): 4.5847 4.5847 3.4032
angles (deg): 90.00 90.00 90.00
Closest atoms and distances in Å follow each position.
Fractional positions:
1 Cu 0.0000 0.0000 0.0000  2 O 1.70
2 P 0.0000 0.5000 0.0000  2 Cu 2.29
3 P 0.5000 0.0000 0.0000  2 Cu 2.29
4 Ru 0.5000 0.5000 0.5000  8 P 2.85
5 O 0.0000 0.0000 0.5000  2 Cu 1.70

Computed properties:
For the density of states at the Fermi level, the calculation gives 1.07 states/eV/atom. The value obtained for the energy above the most stable polymorph in this dataset is 0.418 eV per atom. Its total energy is -5.097 eV per atom. As for the crystal system: tetragonal. The calculation puts the uncorrected formation energy at 0.733 eV per atom.

# 7
Here is crystalline CuSbP2O8 at its relaxed geometry from Alexandria. Energies are from PBE.

a b c (Å): 5.0310 6.2229 10.1819
angles (deg): 90.00 95.24 90.00
Closest atoms and distances in Å follow each position.
Fractional positions:
1 Cu 0.1426 0.2500 0.1988  4 O 1.92-2.04
2 Cu 0.8574 0.7500 0.8012  4 O 1.92-2.04
3 Sb 0.4366 0.2500 0.7084  6 O 2.09-2.19
4 Sb 0.5634 0.7500 0.2916  6 O 2.09-2.19
5 P 0.0931 0.7500 0.1013  4 O 1.51-1.60
6 P 0.3836 0.7500 0.5949  4 O 1.52-1.58
7 P 0.6164 0.2500 0.4051  4 O 1.52-1.58
8 P 0.9069 0.2500 0.8987  4 O 1.51-1.60
9 O 0.1115 0.7500 0.9539  1 P 1.51
10 O 0.2022 0.2500 0.8685  1 P 1.54
11 O 0.2497 0.5483 0.6553  1 P 1.58
12 O 0.2497 0.9517 0.6553  1 P 1.58
13 O 0.2609 0.5600 0.1741  1 P 1.60
14 O 0.2609 0.9400 0.1741  1 P 1.60
15 O 0.3082 0.7500 0.4425  1 P 1.56
16 O 0.3138 0.2500 0.3764  1 P 1.52
17 O 0.6862 0.7500 0.6236  1 P 1.52
18 O 0.6918 0.2500 0.5575  1 P 1.56
19 O 0.7391 0.0600 0.8259  1 P 1.60
20 O 0.7391 0.4400 0.8259  1 P 1.60
21 O 0.7503 0.0483 0.3447  1 P 1.58
22 O 0.7503 0.4517 0.3447  1 P 1.58
23 O 0.7978 0.7500 0.1315  1 P 1.54
24 O 0.8885 0.2500 0.0461  1 P 1.51

Computed properties:
For the density of states at the Fermi level, the calculation gives 0.16 states/eV/atom. The value obtained for the energy above the most stable polymorph in this dataset is 0.000 eV per atom. Its total energy is -6.537 eV per atom. As for the crystal system: monoclinic. The calculation puts the uncorrected formation energy at -1.645 eV per atom.

# 8
Here is crystalline CuSbP2O8 at its relaxed geometry from Alexandria. Energies are from PBE.

a b c (Å): 5.1877 5.1877 6.4473
angles (deg): 90.00 90.00 120.00
Closest atoms and distances in Å follow each position.
Fractional positions:
1 Cu 0.0000 0.0000 0.0000  6 O 2.02
2 Sb 0.0000 0.0000 0.5000  6 O 2.40
3 P 0.3333 0.6667 0.7205  4 O 1.53-1.56
4 P 0.6667 0.3333 0.2795  4 O 1.53-1.56
5 O 0.1674 0.3347 0.7901  1 P 1.56
6 O 0.1674 0.8326 0.7901  1 P 1.56
7 O 0.3333 0.6667 0.4825  1 P 1.53
8 O 0.3347 0.1674 0.2099  1 P 1.56
9 O 0.6653 0.8326 0.7901  1 P 1.56
10 O 0.6667 0.3333 0.5175  1 P 1.53
11 O 0.8326 0.1674 0.2099  1 P 1.56
12 O 0.8326 0.6653 0.2099  1 P 1.56

Computed properties:
For the density of states at the Fermi level, the calculation gives 0.26 states/eV/atom. The value obtained for the energy above the most stable polymorph in this dataset is 0.158 eV per atom. Its total energy is -6.378 eV per atom. As for the crystal system: trigonal. The calculation puts the uncorrected formation energy at -1.486 eV per atom.

# 9
Here is crystalline CuSbPO2 at its relaxed geometry from Alexandria. Energies are from PBE.

a b c (Å): 3.8771 3.8771 4.5710
angles (deg): 90.00 90.00 90.00
Closest atoms and distances in Å follow each position.
Fractional positions:
1 Cu 0.0000 0.0000 0.0000  4 O 1.94
2 Sb 0.5000 0.5000 0.5000  4 P 2.74, 8 O 3.00
3 P 0.0000 0.0000 0.5000  2 Cu 2.29
4 O 0.0000 0.5000 0.0000  2 Cu 1.94
5 O 0.5000 0.0000 0.0000  2 Cu 1.94

Computed properties:
For the density of states at the Fermi level, the calculation gives 0.63 states/eV/atom. The value obtained for the energy above the most stable polymorph in this dataset is 0.248 eV per atom. Its total energy is -4.627 eV per atom. As for the crystal system: tetragonal. The calculation puts the uncorrected formation energy at 0.082 eV per atom.

# 10
Here is crystalline CuSbPO2 at its relaxed geometry from Alexandria. Energies are from PBE.

a b c (Å): 3.8336 3.8336 5.4658
angles (deg): 90.00 90.00 90.00
Closest atoms and distances in Å follow each position.
Fractional positions:
1 Cu 0.0000 0.0000 0.0000  4 P 2.71
2 Sb 0.5000 0.5000 0.5000  4 O 1.92
3 P 0.5000 0.5000 0.0000  4 Cu 2.71, 2 Sb 2.73
4 O 0.0000 0.5000 0.5000  2 Sb 1.92
5 O 0.5000 0.0000 0.5000  2 Sb 1.92

Computed properties:
For the density of states at the Fermi level, the calculation gives 0.16 states/eV/atom. The value obtained for the energy above the most stable polymorph in this dataset is 0.000 eV per atom. Its total energy is -4.875 eV per atom. As for the crystal system: tetragonal. The calculation puts the uncorrected formation energy at -0.166 eV per atom.

# 11
Here is crystalline CuSbP2O at its relaxed geometry from Alexandria. Energies are from PBE.

a b c (Å): 5.1124 5.1124 3.8473
angles (deg): 90.00 90.00 90.00
Closest atoms and distances in Å follow each position.
Fractional positions:
1 Cu 0.0000 0.0000 0.0000  8 P 3.20
2 Sb 0.5000 0.5000 0.5000  2 O 1.92
3 P 0.0000 0.5000 0.5000  2 Sb 2.56
4 P 0.5000 0.0000 0.5000  2 Sb 2.56
5 O 0.5000 0.5000 0.0000  2 Sb 1.92

Computed properties:
For the density of states at the Fermi level, the calculation gives 0.77 states/eV/atom. The value obtained for the energy above the most stable polymorph in this dataset is 0.339 eV per atom. Its total energy is -4.100 eV per atom. As for the crystal system: tetragonal. The calculation puts the uncorrected formation energy at 0.699 eV per atom.

# 12
Here is crystalline CuSbP2O at its relaxed geometry from Alexandria. Energies are from PBE.

a b c (Å): 4.7372 4.7372 3.6412
angles (deg): 90.00 90.00 90.00
Closest atoms and distances in Å follow each position.
Fractional positions:
1 Cu 0.0000 0.0000 0.0000  2 O 1.82
2 Sb 0.5000 0.5000 0.5000  8 P 2.99
3 P 0.0000 0.5000 0.0000  2 Cu 2.37
4 P 0.5000 0.0000 0.0000  2 Cu 2.37
5 O 0.0000 0.0000 0.5000  2 Cu 1.82

Computed properties:
For the density of states at the Fermi level, the calculation gives 0.72 states/eV/atom. The value obtained for the energy above the most stable polymorph in this dataset is 0.000 eV per atom. Its total energy is -4.440 eV per atom. As for the crystal system: tetragonal. The calculation puts the uncorrected formation energy at 0.360 eV per atom.